# NaMnH2F8

A geometry-optimized NaMnH2F8 structure (PBE+U, Alexandria via LeMat-Bulk).

abc: 4.689 4.818 6.783
angles: 97.49 90.53 104.75
Atoms (fractional coordinates):
Na 0.000 0.000 0.000
Mn 0.000 0.000 0.500
H 0.288 0.552 0.836
H 0.712 0.448 0.164
F 0.167 0.264 0.338
F 0.175 0.241 0.726
F 0.315 0.829 0.476
F 0.335 0.720 0.937
F 0.665 0.280 0.063
F 0.685 0.171 0.524
F 0.825 0.759 0.274
F 0.833 0.736 0.662

Its space group is P-1, No. 2. Its electronic total energy is -0.16183 Ha/atom. The value obtained for the calculated volume is 12.2 A^3/atom.